1.
VASP calculation (PBE) on a relaxed Tb5Nd2Y12 crystal.

## Properties
D(E_F)	29.416	states/eV/cell
formation enthalpy at 0 K	82	meV/atom
space-group type	P-1 (2)
total magnetization	0.0	μB per formula unit

Cell: 6.7672 8.8602 11.4503 Å, 110.97 92.37 100.43°
Closest atoms and distances in Å follow each position.
Element x y z (fractional)
Tb 0.0000 0.0000 0.0000  8 Y 3.52-3.79, 4 Tb 3.82-3.85
Tb 0.3433 0.6155 0.4300  9 Y 3.44-3.80, 3 Nd 3.51-3.67
Tb 0.4567 0.8173 0.0374  8 Y 3.41-3.78, 1 Tb 3.59
Tb 0.5433 0.1827 0.9626  8 Y 3.41-3.78, 1 Tb 3.59
Tb 0.6567 0.3845 0.5700  9 Y 3.44-3.80, 3 Nd 3.51-3.67
Nd 0.1210 0.2634 0.5136  6 Y 3.26-3.61, 2 Tb 3.51-3.55
Nd 0.8790 0.7366 0.4864  6 Y 3.26-3.61, 2 Tb 3.51-3.55
Y 0.1094 0.6928 0.7241  1 Nd 3.26, 5 Y 3.31-3.59, 2 Tb 3.56-3.61
Y 0.1162 0.8523 0.2629  2 Nd 3.43-3.74, 5 Y 3.45-3.62, 3 Tb 3.50-3.79
Y 0.1613 0.4424 0.0850  6 Y 3.31-3.67, 1 Tb 3.62
Y 0.3383 0.4291 0.8126  1 Nd 3.35, 6 Y 3.36-3.67, 3 Tb 3.41-3.64
Y 0.3494 0.0247 0.6344  2 Nd 3.45-3.61, 6 Y 3.45-3.70, 3 Tb 3.53-3.80
Y 0.3839 0.2189 0.2528  6 Y 3.35-3.67, 5 Tb 3.44-3.67, 1 Nd 3.48
Y 0.6161 0.7811 0.7472  6 Y 3.35-3.67, 5 Tb 3.44-3.67, 1 Nd 3.48
Y 0.6506 0.9753 0.3656  2 Nd 3.45-3.61, 6 Y 3.45-3.70, 3 Tb 3.53-3.80
Y 0.6617 0.5709 0.1874  1 Nd 3.35, 6 Y 3.36-3.67, 3 Tb 3.41-3.64
Y 0.8387 0.5576 0.9150  6 Y 3.31-3.67, 1 Tb 3.62
Y 0.8838 0.1477 0.7371  2 Nd 3.43-3.74, 5 Y 3.45-3.62, 3 Tb 3.50-3.79
Y 0.8906 0.3072 0.2759  1 Nd 3.26, 5 Y 3.31-3.59, 2 Tb 3.56-3.61

2.
VASP calculation (PBE) on a relaxed Tb12Nd2Y crystal.

## Properties
D(E_F)	45.414	states/eV/cell
formation enthalpy at 0 K	110	meV/atom
space-group type	C2/m (12)
total magnetization	0.0	μB per formula unit

Cell: 6.6766 6.6766 24.5784 Å, 92.22 92.22 115.47°
Closest atoms and distances in Å follow each position.
Element x y z (fractional)
Tb 0.0497 0.5489 0.2000  5 Tb 3.19-3.56
Tb 0.0815 0.5825 0.3303  5 Tb 3.19-3.56
Tb 0.1375 0.6389 0.5551  10 Tb 3.23-3.56
Tb 0.1432 0.1432 0.5718  8 Tb 3.36-3.70
Tb 0.2164 0.2164 0.8641  4 Tb 3.24-3.56, 1 Y 3.32
Tb 0.2325 0.7325 0.9267  9 Tb 3.56-3.68, 4 Y 3.79-3.80
Tb 0.2675 0.7675 0.0733  9 Tb 3.56-3.68, 4 Y 3.79-3.80
Tb 0.2834 0.2834 0.1353  4 Tb 3.23-3.56, 1 Y 3.32
Tb 0.3580 0.3580 0.4272  8 Tb 3.36-3.69
Tb 0.3611 0.8625 0.4449  10 Tb 3.23-3.56
Tb 0.4175 0.9185 0.6697  5 Tb 3.19-3.56
Tb 0.4511 0.9503 0.8000  5 Tb 3.19-3.56
Tb 0.5489 0.0497 0.2000  5 Tb 3.19-3.56
Tb 0.5825 0.0815 0.3303  5 Tb 3.19-3.56
Tb 0.6389 0.1375 0.5551  10 Tb 3.23-3.56
Tb 0.6420 0.6420 0.5728  8 Tb 3.36-3.69
Tb 0.7166 0.7166 0.8647  4 Tb 3.23-3.56, 1 Y 3.32
Tb 0.7325 0.2325 0.9267  9 Tb 3.56-3.68, 4 Y 3.79-3.80
Tb 0.7675 0.2675 0.0733  9 Tb 3.56-3.68, 4 Y 3.79-3.80
Tb 0.7836 0.7836 0.1359  4 Tb 3.24-3.56, 1 Y 3.32
Tb 0.8568 0.8568 0.4282  8 Tb 3.36-3.70
Tb 0.8625 0.3611 0.4449  10 Tb 3.23-3.56
Tb 0.9185 0.4175 0.6697  5 Tb 3.19-3.56
Tb 0.9503 0.4511 0.8000  5 Tb 3.19-3.56
Nd 0.0683 0.0683 0.2724  2 Nd 3.55-3.57, 10 Tb 3.63-3.80
Nd 0.4330 0.4330 0.7277  2 Nd 3.55-3.57, 10 Tb 3.63-3.80
Nd 0.5670 0.5670 0.2723  2 Nd 3.55-3.57, 10 Tb 3.63-3.80
Nd 0.9317 0.9317 0.7276  2 Nd 3.55-3.57, 10 Tb 3.63-3.80
Y 0.2499 0.2499 0.9997  2 Tb 3.32, 2 Y 3.56
Y 0.7501 0.7501 0.0003  2 Tb 3.32, 2 Y 3.56

3.
VASP calculation (PBE) on a relaxed TbNdY crystal.

## Properties
D(E_F)	3.927	states/eV/cell
formation enthalpy at 0 K	9	meV/atom
space-group type	Cm (8)
total magnetization	0.0	μB per formula unit

Cell: 3.6328 3.6328 8.9878 Å, 101.81 101.81 60.06°
Closest atoms and distances in Å follow each position.
Element x y z (fractional)
Tb 0.0000 0.0000 0.0000  3 Y 3.53, 3 Nd 3.62-3.63, 6 Tb 3.63-3.64
Nd 0.7800 0.7800 0.3383  3 Y 3.60-3.62, 3 Tb 3.62-3.63, 6 Nd 3.63-3.64
Y 0.2235 0.2235 0.6749  3 Tb 3.53, 3 Nd 3.60-3.62, 6 Y 3.63-3.64

4.
VASP calculation (PBE) on a relaxed Tb3Nd3Y8 crystal.

## Properties
D(E_F)	23.571	states/eV/cell
formation enthalpy at 0 K	112	meV/atom
space-group type	Immm (71)
total magnetization	0.0	μB per formula unit

Cell: 9.7483 9.7483 9.7483 Å, 145.96 112.57 77.74°
Closest atoms and distances in Å follow each position.
Element x y z (fractional)
Tb 0.0000 0.0000 0.0000  2 Tb 3.23
Tb 0.2981 0.0000 0.2981  1 Tb 3.23, 4 Nd 3.53-3.59, 4 Y 3.58
Tb 0.7019 0.0000 0.7019  1 Tb 3.23, 4 Nd 3.53-3.59, 4 Y 3.58
Nd 0.3171 0.8171 0.5000  2 Tb 3.53, 8 Y 3.65-3.72
Nd 0.5000 0.5000 0.0000  4 Tb 3.59, 4 Nd 3.98, 4 Y 4.01
Nd 0.6829 0.1829 0.5000  2 Tb 3.53, 8 Y 3.65-3.72
Y 0.0565 0.3975 0.6590  5 Y 3.11-3.44
Y 0.0598 0.2201 0.8398  6 Y 3.33-3.57, 3 Nd 3.65-3.72, 1 Tb 3.66
Y 0.2614 0.6025 0.6590  5 Y 3.11-3.44
Y 0.3803 0.2201 0.1602  6 Y 3.33-3.57, 3 Nd 3.65-3.72, 1 Tb 3.66
Y 0.6197 0.7799 0.8398  6 Y 3.33-3.57, 3 Nd 3.65-3.72, 1 Tb 3.66
Y 0.7386 0.3975 0.3410  5 Y 3.11-3.44
Y 0.9402 0.7799 0.1602  6 Y 3.33-3.57, 3 Nd 3.65-3.72, 1 Tb 3.66
Y 0.9435 0.6025 0.3410  5 Y 3.11-3.44

5.
VASP calculation (PBE) on a relaxed Tb6Nd3Y crystal.

## Properties
D(E_F)	26.041	states/eV/cell
formation enthalpy at 0 K	148	meV/atom
space-group type	Cmc2_1 (36)
total magnetization	0.0	μB per formula unit

Cell: 10.9459 10.9459 6.4480 Å, 90.00 90.00 120.27°
Closest atoms and distances in Å follow each position.
Element x y z (fractional)
Tb 0.0335 0.9665 0.5000  1 Y 3.40, 2 Tb 3.47, 4 Nd 3.50
Tb 0.0562 0.4768 0.9852  3 Tb 3.17-3.43, 2 Nd 3.29-3.43, 1 Y 3.36
Tb 0.2716 0.7284 0.6972  4 Tb 3.17-3.42, 1 Y 3.40, 1 Nd 3.49
Tb 0.2841 0.3744 0.7992  4 Nd 3.41-3.81, 5 Tb 3.43-3.82
Tb 0.3744 0.2841 0.2992  4 Nd 3.41-3.81, 5 Tb 3.43-3.82
Tb 0.4768 0.0562 0.4852  3 Tb 3.17-3.43, 2 Nd 3.29-3.43, 1 Y 3.36
Tb 0.5232 0.9438 0.9852  3 Tb 3.17-3.43, 2 Nd 3.29-3.43, 1 Y 3.36
Tb 0.6256 0.7159 0.7992  4 Nd 3.41-3.81, 5 Tb 3.43-3.82
Tb 0.7159 0.6256 0.2992  4 Nd 3.41-3.81, 5 Tb 3.43-3.82
Tb 0.7284 0.2716 0.1972  4 Tb 3.17-3.42, 1 Y 3.40, 1 Nd 3.49
Tb 0.9438 0.5232 0.4852  3 Tb 3.17-3.43, 2 Nd 3.29-3.43, 1 Y 3.36
Tb 0.9665 0.0335 0.0000  1 Y 3.40, 2 Tb 3.47, 4 Nd 3.50
Nd 0.0628 0.2929 0.3838  1 Y 3.27, 6 Tb 3.29-3.50, 1 Nd 3.58
Nd 0.2929 0.0628 0.8838  1 Y 3.27, 6 Tb 3.29-3.50, 1 Nd 3.58
Nd 0.3872 0.6128 0.2755  7 Tb 3.49-3.81, 2 Nd 3.58, 1 Y 3.80
Nd 0.6128 0.3872 0.7755  7 Tb 3.49-3.81, 2 Nd 3.58, 1 Y 3.80
Nd 0.7071 0.9372 0.3838  1 Y 3.27, 6 Tb 3.29-3.50, 1 Nd 3.58
Nd 0.9372 0.7071 0.8838  1 Y 3.27, 6 Tb 3.29-3.50, 1 Nd 3.58
Y 0.1878 0.8122 0.2317  2 Nd 3.27, 6 Tb 3.36-3.57
Y 0.8122 0.1878 0.7317  2 Nd 3.27, 6 Tb 3.36-3.57

6.
VASP calculation (PBE) on a relaxed TbNd2Y6 crystal.

## Properties
D(E_F)	24.899	states/eV/cell
formation enthalpy at 0 K	103	meV/atom
space-group type	C2/c (15)
total magnetization	0.0	μB per formula unit

Cell: 9.6665 9.6665 6.6121 Å, 99.00 99.00 95.98°
Closest atoms and distances in Å follow each position.
Element x y z (fractional)
Tb 0.1179 0.8821 0.7500  6 Y 3.31-3.53
Tb 0.8821 0.1179 0.2500  6 Y 3.31-3.53
Nd 0.3338 0.3841 0.6273  3 Nd 3.38-3.63, 7 Y 3.43-3.69
Nd 0.3841 0.3338 0.1273  3 Nd 3.38-3.63, 7 Y 3.43-3.69
Nd 0.6159 0.6662 0.8727  3 Nd 3.38-3.63, 7 Y 3.43-3.69
Nd 0.6662 0.6159 0.3727  3 Nd 3.38-3.63, 7 Y 3.43-3.69
Y 0.0460 0.2213 0.8130  3 Y 3.36-3.49, 3 Tb 3.40-3.75, 2 Nd 3.53-3.55
Y 0.0596 0.4596 0.2718  6 Y 3.40-3.55, 2 Nd 3.47-3.69, 1 Tb 3.53
Y 0.2213 0.0460 0.3130  3 Y 3.36-3.49, 3 Tb 3.40-3.75, 2 Nd 3.53-3.55
Y 0.2756 0.6525 0.9956  5 Y 3.27-3.58, 1 Tb 3.31, 3 Nd 3.43-3.55
Y 0.3475 0.7244 0.5044  5 Y 3.27-3.58, 1 Tb 3.31, 3 Nd 3.43-3.55
Y 0.4596 0.0596 0.7718  6 Y 3.40-3.55, 2 Nd 3.47-3.69, 1 Tb 3.53
Y 0.5404 0.9404 0.2282  6 Y 3.40-3.55, 2 Nd 3.47-3.69, 1 Tb 3.53
Y 0.6525 0.2756 0.4956  5 Y 3.27-3.58, 1 Tb 3.31, 3 Nd 3.43-3.55
Y 0.7244 0.3475 0.0044  5 Y 3.27-3.58, 1 Tb 3.31, 3 Nd 3.43-3.55
Y 0.7787 0.9540 0.6870  3 Y 3.36-3.49, 3 Tb 3.40-3.75, 2 Nd 3.53-3.55
Y 0.9404 0.5404 0.7282  6 Y 3.40-3.55, 2 Nd 3.47-3.69, 1 Tb 3.53
Y 0.9540 0.7787 0.1870  3 Y 3.36-3.49, 3 Tb 3.40-3.75, 2 Nd 3.53-3.55

7.
VASP calculation (PBE) on a relaxed Tb5NdY6 crystal.

## Properties
D(E_F)	16.479	states/eV/cell
formation enthalpy at 0 K	17	meV/atom
space-group type	C2/m (12)
total magnetization	0.0	μB per formula unit

Cell: 6.1936 6.1936 11.8347 Å, 94.98 94.98 119.96°
Closest atoms and distances in Å follow each position.
Element x y z (fractional)
Tb 0.0000 0.0000 0.0000  6 Y 3.56, 6 Tb 3.57-3.58
Tb 0.1667 0.8333 0.5000  3 Nd 3.58, 3 Tb 3.58, 6 Y 3.58
Tb 0.3332 0.6669 0.0000  6 Y 3.56-3.57, 6 Tb 3.57-3.58
Tb 0.6669 0.3332 0.0000  6 Y 3.56-3.57, 6 Tb 3.57-3.58
Tb 0.8333 0.1667 0.5000  3 Nd 3.58, 3 Tb 3.58, 6 Y 3.58
Nd 0.5000 0.5000 0.5000  6 Tb 3.58, 6 Y 3.58
Y 0.0831 0.4169 0.2489  5 Tb 3.56-3.58, 6 Y 3.57-3.58, 1 Nd 3.58
Y 0.2492 0.2492 0.7509  5 Tb 3.56-3.58, 6 Y 3.57-3.58, 1 Nd 3.58
Y 0.4169 0.0831 0.2489  5 Tb 3.56-3.58, 6 Y 3.57-3.58, 1 Nd 3.58
Y 0.5831 0.9169 0.7511  5 Tb 3.56-3.58, 6 Y 3.57-3.58, 1 Nd 3.58
Y 0.7508 0.7508 0.2491  5 Tb 3.56-3.58, 6 Y 3.57-3.58, 1 Nd 3.58
Y 0.9169 0.5831 0.7511  5 Tb 3.56-3.58, 6 Y 3.57-3.58, 1 Nd 3.58

8.
VASP calculation (PBE) on a relaxed Tb3Nd12Y crystal.

## Properties
D(E_F)	24.562	states/eV/cell
formation enthalpy at 0 K	13	meV/atom
space-group type	P4/mmm (123)
total magnetization	0.0	μB per formula unit

Cell: 5.1687 5.1687 20.6184 Å, 90.00 90.00 90.00°
Closest atoms and distances in Å follow each position.
Element x y z (fractional)
Tb 0.0000 0.0000 0.0000  12 Nd 3.65
Tb 0.0000 0.0000 0.2500  12 Nd 3.65
Tb 0.0000 0.0000 0.7500  12 Nd 3.65
Nd 0.0000 0.5000 0.1250  8 Nd 3.65, 4 Tb 3.65
Nd 0.0000 0.5000 0.3748  2 Tb 3.65, 8 Nd 3.65, 2 Y 3.65
Nd 0.0000 0.5000 0.6252  2 Tb 3.65, 8 Nd 3.65, 2 Y 3.65
Nd 0.0000 0.5000 0.8750  8 Nd 3.65, 4 Tb 3.65
Nd 0.5000 0.0000 0.1250  8 Nd 3.65, 4 Tb 3.65
Nd 0.5000 0.0000 0.3748  2 Tb 3.65, 8 Nd 3.65, 2 Y 3.65
Nd 0.5000 0.0000 0.6252  2 Tb 3.65, 8 Nd 3.65, 2 Y 3.65
Nd 0.5000 0.0000 0.8750  8 Nd 3.65, 4 Tb 3.65
Nd 0.5000 0.5000 0.0000  8 Nd 3.65, 4 Tb 3.65
Nd 0.5000 0.5000 0.2499  8 Nd 3.65, 4 Tb 3.65
Nd 0.5000 0.5000 0.5000  8 Nd 3.65, 4 Y 3.65
Nd 0.5000 0.5000 0.7501  8 Nd 3.65, 4 Tb 3.65
Y 0.0000 0.0000 0.5000  12 Nd 3.65

9.
VASP calculation (PBE) on a relaxed Tb3Nd2Y crystal.

## Properties
D(E_F)	18.863	states/eV/cell
formation enthalpy at 0 K	118	meV/atom
space-group type	C2/m (12)
total magnetization	0.0	μB per formula unit

Cell: 11.8584 11.8584 10.3317 Å, 108.22 108.22 17.08°
Closest atoms and distances in Å follow each position.
Element x y z (fractional)
Tb 0.0591 0.0591 0.4451  8 Tb 3.31-3.70, 3 Nd 3.43-3.70
Tb 0.1946 0.1946 0.7158  3 Y 3.36-3.57, 5 Tb 3.51-3.60, 3 Nd 3.54-3.55
Tb 0.4306 0.4306 0.2338  8 Tb 3.52-3.70, 2 Nd 3.67-3.84, 2 Y 3.71
Tb 0.5694 0.5694 0.7662  8 Tb 3.52-3.70, 2 Nd 3.67-3.84, 2 Y 3.71
Tb 0.8054 0.8054 0.2842  3 Y 3.36-3.57, 5 Tb 3.51-3.60, 3 Nd 3.54-3.55
Tb 0.9409 0.9409 0.5549  8 Tb 3.31-3.70, 3 Nd 3.43-3.70
Nd 0.1914 0.1914 0.3701  1 Y 3.42, 4 Tb 3.43-3.55, 6 Nd 3.52-3.63
Nd 0.4319 0.4319 0.8627  5 Nd 3.52-3.58, 4 Tb 3.67-3.84, 2 Y 3.74
Nd 0.5681 0.5681 0.1373  5 Nd 3.52-3.58, 4 Tb 3.67-3.84, 2 Y 3.74
Nd 0.8086 0.8086 0.6299  1 Y 3.42, 4 Tb 3.43-3.55, 6 Nd 3.52-3.63
Y 0.1884 0.1884 0.0365  5 Tb 3.36-3.71, 3 Nd 3.42-3.74, 4 Y 3.52-3.66
Y 0.8116 0.8116 0.9635  5 Tb 3.36-3.71, 3 Nd 3.42-3.74, 4 Y 3.52-3.66

> Look up the formation enthalpy at 0 K of the fifth one.

148 meV/atom

> What is the D(E_F) in the eighth record?

24.562 states/eV/cell

> Which value of D(E_F) does entry 6 give?

24.899 states/eV/cell